1.
Density functional theory data (PBE) for crystalline CaLaSmTh at its relaxed geometry.

The structure in CIF format:
```
data_CaLaSmTh
_chemical_formula_sum 'Ca1 La1 Sm1 Th1'
_cell_length_a 3.676
_cell_length_b 3.676
_cell_length_c 10.670
_cell_angle_alpha 90.00
_cell_angle_beta 90.00
_cell_angle_gamma 90.00
_space_group_name_H-M_alt 'P 1'
_space_group_IT_number 1
_space_group_name_Hall 'P 1'
loop_
_atom_site_label
_atom_site_fract_x
_atom_site_fract_y
_atom_site_fract_z
_atom_site_occupancy
Ca1 0.000 0.000 0.000 1
La1 0.500 0.500 0.716 1
Sm1 0.500 0.500 0.267 1
Th1 0.000 0.000 0.490 1
```

Computed properties:
Energy above the most stable polymorph in this dataset ... 0 meV/atom
Spin magnetization ... 0.000 μB/atom
VASP energy ... -4.7368 eV/atom
DFT formation energy ... 0.030 eV/atom
Symmetry ... P4mm

2.
Density functional theory data (PBE) for crystalline Al2CuNiH at its relaxed geometry.

The structure in CIF format:
```
data_Al2CuNiH
_chemical_formula_sum 'Al2 Cu1 Ni1 H1'
_cell_length_a 4.182
_cell_length_b 4.182
_cell_length_c 3.130
_cell_angle_alpha 90.00
_cell_angle_beta 90.00
_cell_angle_gamma 90.00
_space_group_name_H-M_alt 'P 1'
_space_group_IT_number 1
_space_group_name_Hall 'P 1'
loop_
_atom_site_label
_atom_site_fract_x
_atom_site_fract_y
_atom_site_fract_z
_atom_site_occupancy
Al1 0.000 0.500 0.000 1
Al2 0.500 0.000 0.000 1
Cu1 0.000 0.000 0.500 1
Ni1 0.500 0.500 0.500 1
H1 0.500 0.500 0.000 1
```

Computed properties:
Spin magnetization ... 0.000 μB/atom
VASP energy ... -4.2744 eV/atom
Symmetry ... P4/mmm

3.
Density functional theory data (PBE) for crystalline Zr2MnRe at its relaxed geometry.

The structure in CIF format:
```
data_Zr2MnRe
_chemical_formula_sum 'Zr2 Mn1 Re1'
_cell_length_a 3.469
_cell_length_b 4.241
_cell_length_c 4.820
_cell_angle_alpha 90.00
_cell_angle_beta 90.00
_cell_angle_gamma 90.00
_space_group_name_H-M_alt 'P 1'
_space_group_IT_number 1
_space_group_name_Hall 'P 1'
loop_
_atom_site_label
_atom_site_fract_x
_atom_site_fract_y
_atom_site_fract_z
_atom_site_occupancy
Zr1 0.000 0.000 0.000 1
Zr2 0.500 0.000 0.500 1
Mn1 0.000 0.500 0.500 1
Re1 0.500 0.500 0.000 1
```

Computed properties:
Spin magnetization ... 0.423 μB/atom
VASP energy ... -9.5272 eV/atom
DFT formation energy ... 0.151 eV/atom
Symmetry ... Pmmm